# 1
Below is a relaxed NaMg2In5 crystal, with properties calculated at the PBE level.

For the calculated volume, the calculation gives 25.10 Å³ per atom. Its crystal system is tetragonal. The calculation puts the excess energy over the best structure of this formula in the dataset at 0 meV/atom.

```
data_NaMg2In5
_symmetry_space_group_name_H-M 'I 4 m m'
_symmetry_Int_Tables_number 107
_symmetry_space_group_name_Hall 'I 4 -2'
_cell_length_a 7.710
_cell_length_b 7.710
_cell_length_c 6.756
_cell_angle_alpha 90.00
_cell_angle_beta 90.00
_cell_angle_gamma 90.00
loop_
_atom_site_label
_atom_site_fract_x
_atom_site_fract_y
_atom_site_fract_z
_atom_site_occupancy
Na1 0.000 0.000 0.000 1
Mg1 0.000 0.500 0.499 1
In1 0.000 0.000 0.499 1
In2 0.250 0.250 0.250 1
```

=====

# 2
Below is a relaxed Zr2MoBr crystal, with properties calculated at the PBE level.

For the calculated volume, the calculation gives 19.81 Å³ per atom. Its crystal system is tetragonal. The calculation puts the excess energy over the best structure of this formula in the dataset at 626 meV/atom. The uncorrected formation energy is 0.287 eV per atom.

```
data_Zr2MoBr
_symmetry_space_group_name_H-M 'I -4 m 2'
_symmetry_Int_Tables_number 119
_symmetry_space_group_name_Hall 'I -4 -2'
_cell_length_a 3.914
_cell_length_b 3.914
_cell_length_c 10.343
_cell_angle_alpha 90.00
_cell_angle_beta 90.00
_cell_angle_gamma 90.00
loop_
_atom_site_label
_atom_site_fract_x
_atom_site_fract_y
_atom_site_fract_z
_atom_site_occupancy
Zr1 0.000 0.000 0.000 1
Zr2 0.000 0.500 0.250 1
Mo1 0.000 0.000 0.500 1
Br1 0.000 0.500 0.750 1
```